Record 1
# LiZrRe2

A geometry-optimized LiZrRe2 structure (GGA-PBEsol, Alexandria via LeMat-Bulk).

Geometry as POSCAR:
```
LiZrRe2
1.0
0.000 3.131 3.131
3.131 0.000 3.131
3.131 3.131 0.000
Li Zr Re
1 1 2
direct
0.000 0.000 0.000 Li
0.750 0.750 0.750 Zr
0.250 0.250 0.250 Re
0.500 0.500 0.500 Re
```

Computed properties:
- Energy of formation: 98.4 meV/atom
- Density: 12.72 g/cm³
- DOS(E_F): 3.7 states/eV/cell
- Magnetization: 0.000 μB per cell
- Relative energy among the computed polymorphs: 0 meV per atom

=====

Record 2
# YAl2P

A geometry-optimized YAl2P structure (GGA-PBEsol, Alexandria via LeMat-Bulk).

Geometry as POSCAR:
```
YAl2P
1.0
3.447 0.000 0.000
0.000 3.447 0.000
0.000 0.000 6.147
Y Al P
1 2 1
direct
0.000 0.000 0.000 Y
0.000 0.000 0.525 Al
0.500 0.500 0.308 Al
0.500 0.500 0.714 P
```

Computed properties:
- Energy of formation: -474.7 meV/atom
- Density: 3.95 g/cm³
- DOS(E_F): 2.9 states/eV/cell
- Magnetization: 0.002 μB per cell

=====

Record 3
# CrTc2HO

A geometry-optimized CrTc2HO structure (GGA-PBEsol, Alexandria via LeMat-Bulk).

Geometry as POSCAR:
```
CrTc2HO
1.0
4.498 0.000 0.000
0.000 4.498 0.000
0.000 0.000 3.463
Cr Tc H O
1 2 1 1
direct
0.000 0.000 0.000 Cr
0.000 0.500 0.000 Tc
0.500 0.000 0.000 Tc
0.500 0.500 0.500 H
0.000 0.000 0.500 O
```

Computed properties:
- Density: 6.28 g/cm³
- E: -0.25665 hartree per atom
- DOS(E_F): 5.0 states/eV/cell
- Magnetization: 2.442 μB per cell

=====

Record 4
# ReW

A geometry-optimized ReW structure (GGA-PBEsol, Alexandria via LeMat-Bulk).

Geometry as POSCAR:
```
ReW
1.0
3.960 0.000 0.000
-1.980 3.430 0.000
0.000 0.000 5.224
Re W
2 2
direct
0.333 0.667 0.250 Re
0.667 0.333 0.750 Re
0.000 0.000 0.000 W
0.000 0.000 0.500 W
```

Computed properties:
- Energy of formation: 1137.4 meV/atom
- Density: 17.32 g/cm³
- DOS(E_F): 3.4 states/eV/cell
- Magnetization: 0.000 μB per cell
- Relative energy among the computed polymorphs: 1012 meV per atom

=====

Record 5
# BaNb2ReW

A geometry-optimized BaNb2ReW structure (GGA-PBEsol, Alexandria via LeMat-Bulk).

Geometry as POSCAR:
```
BaNb2ReW
1.0
4.974 0.000 0.000
0.000 4.974 0.000
0.000 0.000 4.884
Ba Nb Re W
1 2 1 1
direct
0.000 0.000 0.000 Ba
0.000 0.500 0.500 Nb
0.500 0.000 0.500 Nb
0.500 0.500 0.000 Re
0.500 0.500 0.500 W
```

Computed properties:
- Energy of formation: 1401.2 meV/atom
- Density: 9.52 g/cm³
- DOS(E_F): 5.4 states/eV/cell
- Magnetization: 0.053 μB per cell

=====

Record 6
# CoSb3

A geometry-optimized CoSb3 structure (GGA-PBEsol, Alexandria via LeMat-Bulk).

Geometry as POSCAR:
```
CoSb3
1.0
4.030 -6.395 0.000
4.030 6.395 0.000
0.000 0.000 3.746
Co Sb
2 6
direct
0.068 0.932 0.750 Co
0.932 0.068 0.250 Co
0.126 0.317 0.750 Sb
0.267 0.733 0.250 Sb
0.317 0.126 0.250 Sb
0.683 0.874 0.750 Sb
0.733 0.267 0.750 Sb
0.874 0.683 0.250 Sb
```

Computed properties:
- Density: 7.30 g/cm³
- DOS(E_F): 5.1 states/eV/cell
- Magnetization: 0.741 μB per cell
- Relative energy among the computed polymorphs: 368 meV per atom
- Formation energy from raw total energies: 0.14 eV per atom

=====

Which of these has the highest magnetization? CrTc2HO